1.
Entry from Alexandria: a relaxed structure of Rb2TiCdS4 (PBE-GGA).

Cell lengths 8.1802, 8.2088, 7.4351 Å; angles 90.00, 90.00, 90.00 degrees
With the nearest neighbours (Å) after each atom.
Fractional positions:
Rb: 0.2483 0.2488 0.0000  6 S 3.35-3.68
Rb: 0.2517 0.7512 0.5000  6 S 3.35-3.68
Rb: 0.7483 0.7512 0.5000  6 S 3.35-3.68
Rb: 0.7517 0.2488 0.0000  6 S 3.35-3.68
Ti: 0.0000 0.8195 0.0094  4 S 2.24-2.31
Ti: 0.5000 0.1805 0.5094  4 S 2.24-2.31
Cd: 0.0000 0.1952 0.5099  4 S 2.53-2.60
Cd: 0.5000 0.8048 0.0099  4 S 2.53-2.60
S: 0.0000 0.9742 0.7612  1 Ti 2.24
S: 0.0000 0.9894 0.2449  1 Ti 2.24
S: 0.2292 0.6559 0.0176  1 Ti 2.31, 1 Cd 2.53
S: 0.2708 0.3441 0.5176  1 Ti 2.31, 1 Cd 2.53
S: 0.5000 0.0106 0.7449  1 Ti 2.24
S: 0.5000 0.0258 0.2612  1 Ti 2.24
S: 0.7292 0.3441 0.5176  1 Ti 2.31, 1 Cd 2.53
S: 0.7708 0.6559 0.0176  1 Ti 2.31, 1 Cd 2.53

Total DFT energy (no corrections) ... -4.532 eV per atom
Raw formation energy ... -108.5 kJ per mole of atoms
SG ... Pmn2_1, No. 31
M_tot ... 0.0 μB/f.u.

---

2.
Entry from Alexandria: a relaxed structure of Nd6CdIr2I3 (PBE-GGA).

Cell lengths 7.4543, 7.4543, 8.5237 Å; angles 98.41, 98.41, 119.93 degrees
With the nearest neighbours (Å) after each atom.
Fractional positions:
Nd: 0.0685 0.4340 0.8062  2 Ir 2.84-2.85, 1 Cd 3.15
Nd: 0.1981 0.1981 0.1913  2 Ir 2.85, 1 Cd 3.14
Nd: 0.4340 0.0685 0.8062  2 Ir 2.84-2.85, 1 Cd 3.15
Nd: 0.5660 0.9315 0.1938  2 Ir 2.84-2.85, 1 Cd 3.15
Nd: 0.8019 0.8019 0.8087  2 Ir 2.85, 1 Cd 3.14
Nd: 0.9315 0.5660 0.1938  2 Ir 2.84-2.85, 1 Cd 3.15
Cd: 0.5000 0.5000 0.0000  6 Nd 3.14-3.15
Ir: 0.1674 0.8326 0.0000  6 Nd 2.84-2.85
Ir: 0.8326 0.1674 0.0000  6 Nd 2.84-2.85
I: 0.0000 0.0000 0.5000  6 Nd 3.37-3.61
I: 0.3380 0.6620 0.5000  6 Nd 3.39-3.63
I: 0.6620 0.3380 0.5000  6 Nd 3.39-3.63

Total DFT energy (no corrections) ... -5.141 eV per atom
Raw formation energy ... -78.8 kJ per mole of atoms
SG ... C2/m, No. 12
M_tot ... 0.0 μB/f.u.

---

3.
Entry from Alexandria: a relaxed structure of La3Pr4Sm (PBE-GGA).

Cell lengths 10.5553, 7.4023, 7.3998 Å; angles 90.00, 90.00, 90.00 degrees
With the nearest neighbours (Å) after each atom.
Fractional positions:
La: 0.0000 0.0000 0.0000  8 Pr 3.70-3.72, 4 La 3.72
La: 0.2500 0.2517 0.2500  8 Pr 3.68-3.72, 2 Sm 3.71, 2 La 3.72
La: 0.2500 0.7483 0.7500  8 Pr 3.68-3.72, 2 Sm 3.71, 2 La 3.72
La: 0.5000 0.0000 0.5000  8 Pr 3.70-3.72, 4 La 3.72
La: 0.7500 0.2517 0.2500  8 Pr 3.68-3.72, 2 Sm 3.71, 2 La 3.72
La: 0.7500 0.7483 0.7500  8 Pr 3.68-3.72, 2 Sm 3.71, 2 La 3.72
Pr: 0.0000 0.0000 0.5000  6 La 3.70-3.72, 2 Sm 3.70, 4 Pr 3.72
Pr: 0.0000 0.5000 0.0000  2 Sm 3.70, 6 La 3.70-3.71, 4 Pr 3.71
Pr: 0.2500 0.2512 0.7500  6 La 3.68-3.72, 4 Pr 3.71-3.72, 2 Sm 3.71
Pr: 0.2500 0.7488 0.2500  6 La 3.68-3.72, 4 Pr 3.71-3.72, 2 Sm 3.71
Pr: 0.5000 0.0000 0.0000  6 La 3.70-3.72, 2 Sm 3.70, 4 Pr 3.72
Pr: 0.5000 0.5000 0.5000  2 Sm 3.70, 6 La 3.70-3.71, 4 Pr 3.71
Pr: 0.7500 0.2512 0.7500  6 La 3.68-3.72, 4 Pr 3.71-3.72, 2 Sm 3.71
Pr: 0.7500 0.7488 0.2500  6 La 3.68-3.72, 4 Pr 3.71-3.72, 2 Sm 3.71
Sm: 0.0000 0.5000 0.5000  8 Pr 3.70-3.71, 4 La 3.71
Sm: 0.5000 0.5000 0.0000  8 Pr 3.70-3.71, 4 La 3.71

Formation energy from the elements ... 0.09 eV/f.u.
Total DFT energy (no corrections) ... -4.817 eV per atom
SG ... Pmna, No. 53
M_tot ... 0.0 μB/f.u.

---

4.
Entry from Alexandria: a relaxed structure of SbPSe (PBE-GGA).

Cell lengths 5.0282, 5.0577, 7.3953 Å; angles 74.05, 85.29, 88.62 degrees
With the nearest neighbours (Å) after each atom.
Fractional positions:
Sb: 0.0000 0.0000 0.0000  1 P 2.60, 1 Se 2.78
Sb: 0.2782 0.3638 0.6526  1 P 2.60, 1 Se 2.85
P: 0.4036 0.6077 0.9010  1 P 2.21, 1 Se 2.25
P: 0.6853 0.9397 0.7520  1 P 2.21, 1 Se 2.25
Se: 0.6032 0.3069 0.1340  1 P 2.25
Se: 0.9337 0.8207 0.5201  1 P 2.25

Total DFT energy (no corrections) ... -4.351 eV per atom
Raw formation energy ... -1.2 kJ per mole of atoms
Relative energy among the computed polymorphs ... 0.00 eV/f.u.
SG ... P1, No. 1
M_tot ... 0.0 μB/f.u.

---

Q: What is the total DFT energy (no corrections) in the first record?
A: -4.532 eV per atom

---

Repeat the first record exactly.
Entry from Alexandria: a relaxed structure of Rb2TiCdS4 (PBE-GGA).

Cell lengths 8.1802, 8.2088, 7.4351 Å; angles 90.00, 90.00, 90.00 degrees
With the nearest neighbours (Å) after each atom.
Fractional positions:
Rb: 0.2483 0.2488 0.0000  6 S 3.35-3.68
Rb: 0.2517 0.7512 0.5000  6 S 3.35-3.68
Rb: 0.7483 0.7512 0.5000  6 S 3.35-3.68
Rb: 0.7517 0.2488 0.0000  6 S 3.35-3.68
Ti: 0.0000 0.8195 0.0094  4 S 2.24-2.31
Ti: 0.5000 0.1805 0.5094  4 S 2.24-2.31
Cd: 0.0000 0.1952 0.5099  4 S 2.53-2.60
Cd: 0.5000 0.8048 0.0099  4 S 2.53-2.60
S: 0.0000 0.9742 0.7612  1 Ti 2.24
S: 0.0000 0.9894 0.2449  1 Ti 2.24
S: 0.2292 0.6559 0.0176  1 Ti 2.31, 1 Cd 2.53
S: 0.2708 0.3441 0.5176  1 Ti 2.31, 1 Cd 2.53
S: 0.5000 0.0106 0.7449  1 Ti 2.24
S: 0.5000 0.0258 0.2612  1 Ti 2.24
S: 0.7292 0.3441 0.5176  1 Ti 2.31, 1 Cd 2.53
S: 0.7708 0.6559 0.0176  1 Ti 2.31, 1 Cd 2.53

Total DFT energy (no corrections) ... -4.532 eV per atom
Raw formation energy ... -108.5 kJ per mole of atoms
SG ... Pmn2_1, No. 31
M_tot ... 0.0 μB/f.u.

---

Copy entry 3 word for word.
Entry from Alexandria: a relaxed structure of La3Pr4Sm (PBE-GGA).

Cell lengths 10.5553, 7.4023, 7.3998 Å; angles 90.00, 90.00, 90.00 degrees
With the nearest neighbours (Å) after each atom.
Fractional positions:
La: 0.0000 0.0000 0.0000  8 Pr 3.70-3.72, 4 La 3.72
La: 0.2500 0.2517 0.2500  8 Pr 3.68-3.72, 2 Sm 3.71, 2 La 3.72
La: 0.2500 0.7483 0.7500  8 Pr 3.68-3.72, 2 Sm 3.71, 2 La 3.72
La: 0.5000 0.0000 0.5000  8 Pr 3.70-3.72, 4 La 3.72
La: 0.7500 0.2517 0.2500  8 Pr 3.68-3.72, 2 Sm 3.71, 2 La 3.72
La: 0.7500 0.7483 0.7500  8 Pr 3.68-3.72, 2 Sm 3.71, 2 La 3.72
Pr: 0.0000 0.0000 0.5000  6 La 3.70-3.72, 2 Sm 3.70, 4 Pr 3.72
Pr: 0.0000 0.5000 0.0000  2 Sm 3.70, 6 La 3.70-3.71, 4 Pr 3.71
Pr: 0.2500 0.2512 0.7500  6 La 3.68-3.72, 4 Pr 3.71-3.72, 2 Sm 3.71
Pr: 0.2500 0.7488 0.2500  6 La 3.68-3.72, 4 Pr 3.71-3.72, 2 Sm 3.71
Pr: 0.5000 0.0000 0.0000  6 La 3.70-3.72, 2 Sm 3.70, 4 Pr 3.72
Pr: 0.5000 0.5000 0.5000  2 Sm 3.70, 6 La 3.70-3.71, 4 Pr 3.71
Pr: 0.7500 0.2512 0.7500  6 La 3.68-3.72, 4 Pr 3.71-3.72, 2 Sm 3.71
Pr: 0.7500 0.7488 0.2500  6 La 3.68-3.72, 4 Pr 3.71-3.72, 2 Sm 3.71
Sm: 0.0000 0.5000 0.5000  8 Pr 3.70-3.71, 4 La 3.71
Sm: 0.5000 0.5000 0.0000  8 Pr 3.70-3.71, 4 La 3.71

Formation energy from the elements ... 0.09 eV/f.u.
Total DFT energy (no corrections) ... -4.817 eV per atom
SG ... Pmna, No. 53
M_tot ... 0.0 μB/f.u.

---

Q: Which value of total DFT energy (no corrections) does entry 1 give?
A: -4.532 eV per atom